# Pu2URe PBE optimized geometry
data_Pu2URe
_chemical_formula_sum 'Pu2 U1 Re1'
_cell_length_a 3.362
_cell_length_b 3.362
_cell_length_c 7.030
_cell_angle_alpha 90.00
_cell_angle_beta 90.00
_cell_angle_gamma 90.00
_symmetry_space_group_name_H-M 'P 1'
_symmetry_Int_Tables_number 1
_symmetry_space_group_name_Hall 'P 1'
loop_
_atom_site_label
_atom_site_type_symbol
_atom_site_fract_x
_atom_site_fract_y
_atom_site_fract_z
U1 U 0.500 0.500 0.500
Re1 Re 0.500 0.500 0.000
Pu1 Pu 0.000 0.000 0.239
Pu2 Pu 0.000 0.000 0.761
# energy relative to the lowest polymorph listed for this composition = 0.0000 eV per atom
# SG = No. 123
# volume = 19.9 Å³/atom
# E_form = 0.21 eV/atom



# ZrCuW2 PBE optimized geometry
data_ZrCuW2
_chemical_formula_sum 'Zr1 Cu1 W2'
_cell_length_a 2.751
_cell_length_b 2.751
_cell_length_c 8.739
_cell_angle_alpha 90.00
_cell_angle_beta 90.00
_cell_angle_gamma 90.00
_symmetry_space_group_name_H-M 'P 1'
_symmetry_Int_Tables_number 1
_symmetry_space_group_name_Hall 'P 1'
loop_
_atom_site_label
_atom_site_type_symbol
_atom_site_fract_x
_atom_site_fract_y
_atom_site_fract_z
Cu1 Cu 0.500 0.500 0.750
Zr1 Zr 0.500 0.500 0.250
W1 W 0.000 0.000 0.530
W2 W 0.000 0.000 0.970
# energy relative to the lowest polymorph listed for this composition = 0.2067 eV per atom
# SG = No. 123
# volume = 16.5 Å³/atom
# E_form = 0.33 eV/atom



# Be2InAs PBE optimized geometry
data_Be2InAs
_chemical_formula_sum 'Be2 In1 As1'
_cell_length_a 4.823
_cell_length_b 4.823
_cell_length_c 4.823
_cell_angle_alpha 137.46
_cell_angle_beta 115.90
_cell_angle_gamma 80.00
_symmetry_space_group_name_H-M 'P 1'
_symmetry_Int_Tables_number 1
_symmetry_space_group_name_Hall 'P 1'
loop_
_atom_site_label
_atom_site_type_symbol
_atom_site_fract_x
_atom_site_fract_y
_atom_site_fract_z
As1 As 0.250 0.750 0.500
In1 In 0.750 0.250 0.500
Be1 Be 0.463 0.463 0.000
Be2 Be 0.037 0.037 0.000
# energy relative to the lowest polymorph listed for this composition = 0.3035 eV per atom
# SG = No. 71
# volume = 16.5 Å³/atom
# E_form = 0.55 eV/atom



# TbHgBi2O4 PBE optimized geometry
data_TbHgBi2O4
_chemical_formula_sum 'Tb1 Hg1 Bi2 O4'
_cell_length_a 3.934
_cell_length_b 3.934
_cell_length_c 9.558
_cell_angle_alpha 90.00
_cell_angle_beta 90.00
_cell_angle_gamma 90.00
_symmetry_space_group_name_H-M 'P 1'
_symmetry_Int_Tables_number 1
_symmetry_space_group_name_Hall 'P 1'
loop_
_atom_site_label
_atom_site_type_symbol
_atom_site_fract_x
_atom_site_fract_y
_atom_site_fract_z
Hg1 Hg 0.000 0.000 0.500
O1 O 0.000 0.500 0.146
O2 O 0.500 0.000 0.146
O3 O 0.500 0.000 0.854
O4 O 0.000 0.500 0.854
Tb1 Tb 0.000 0.000 0.000
Bi1 Bi 0.500 0.500 0.737
Bi2 Bi 0.500 0.500 0.263
# E_form (uncorrected) = -13.41 eV per formula unit
# SG = No. 123
# volume = 18.5 Å³/atom



no.,final energy (eV/atom)
1,-12.89
2,-9.31
3,-3.16
4,-5.74